LaIn2Ni2Sn | the Alexandria database | PBE | optimized geometry; total energy = -4.463 eV per atom; crystal system = tetragonal; energy of formation = -135 meV per atom; N(E_F) = 4.09 states/eV/f.u.
1.0
4.733 0.000 0.000
0.000 4.733 0.000
0.000 0.000 6.170
La In Ni Sn
1 2 2 1
Direct
0.000 0.000 0.000
0.500 0.500 0.247
0.500 0.500 0.753
0.000 0.500 0.500
0.500 0.000 0.500
0.000 0.000 0.500



Sn2BiPd9 | the Alexandria database | PBE | optimized geometry; total energy = -5.305 eV per atom; crystal system = tetragonal; energy of formation = -420 meV per atom; N(E_F) = 2.74 states/eV/f.u.
1.0
4.075 0.000 0.000
0.000 4.075 0.000
0.000 0.000 12.191
Sn Bi Pd
2 1 9
Direct
0.000 0.000 0.163
0.000 0.000 0.837
0.000 0.000 0.500
0.000 0.500 0.000
0.000 0.500 0.326
0.000 0.500 0.674
0.500 0.000 0.000
0.500 0.000 0.326
0.500 0.000 0.674
0.500 0.500 0.164
0.500 0.500 0.500
0.500 0.500 0.836



CeNdHo6 | the Alexandria database | PBE | optimized geometry; excess energy over the best structure of this formula in the dataset = 0.000 eV/atom; total energy = -4.727 eV per atom; crystal system = tetragonal; energy of formation = 44 meV per atom; N(E_F) = 11.88 states/eV/f.u.
1.0
5.011 0.000 0.000
0.000 5.011 0.000
0.000 0.000 10.008
Ce Nd Ho
1 1 6
Direct
0.000 0.000 0.000
0.000 0.000 0.500
0.000 0.500 0.246
0.000 0.500 0.754
0.500 0.000 0.246
0.500 0.000 0.754
0.500 0.500 0.000
0.500 0.500 0.500



PmCd17Pb | the Alexandria database | PBE | optimized geometry; total energy = -1.322 eV per atom; crystal system = trigonal; energy of formation = -58 meV per atom; N(E_F) = 5.12 states/eV/f.u.
1.0
5.079 2.932 5.053
-5.079 2.932 5.053
0.000 -5.865 5.053
Pm Cd Pb
1 17 1
Direct
0.000 0.000 0.000
0.028 0.333 0.635
0.028 0.635 0.333
0.160 0.698 0.698
0.231 0.231 0.231
0.333 0.028 0.635
0.333 0.635 0.028
0.338 0.338 0.822
0.338 0.822 0.338
0.431 0.431 0.431
0.470 0.985 0.985
0.635 0.028 0.333
0.635 0.333 0.028
0.698 0.160 0.698
0.698 0.698 0.160
0.822 0.338 0.338
0.985 0.470 0.985
0.985 0.985 0.470
0.721 0.721 0.721



> Among the records above, which one has the lowest total energy?

Sn2BiPd9